A plane-wave DFT calculation with PBE was carried out for a relaxed CaZn2Te crystal.

- ΔE_f (raw) (meV/atom) = -298.7
- spin magnetization (μB/cell) = 0.00
- Fermi-level density of states (states/eV per cell) = 0.2

abc: 5.2928 5.2928 5.2928
angles: 60.00 60.00 60.00
Fractional coordinates of all 4 atoms:
Zn 0.0000 0.0000 0.0000
Zn 0.2500 0.2500 0.2500
Te 0.7500 0.7500 0.7500
Ca 0.5000 0.5000 0.5000

A plane-wave DFT calculation with PBE was carried out for a relaxed GaNO2F crystal.

- ΔE_f (raw) (meV/atom) = 799.1
- spin magnetization (μB/cell) = 0.00
- Fermi-level density of states (states/eV per cell) = 7.1

abc: 3.7195 3.7195 4.2542
angles: 90.00 90.00 90.00
Fractional coordinates of all 5 atoms:
N 0.0000 0.0000 0.5000
O 0.0000 0.5000 0.0000
O 0.5000 0.0000 0.0000
Ga 0.0000 0.0000 0.0000
F 0.5000 0.5000 0.5000

A plane-wave DFT calculation with PBE was carried out for a relaxed LaMnZn2 crystal.

- spin magnetization (μB/cell) = 3.10
- Fermi-level density of states (states/eV per cell) = 4.0
- raw total energy (eV for the cell shown) = -16.9

abc: 4.3390 4.3390 5.9109
angles: 68.48 68.48 59.97
Each line ends with the local moment (μB).
Fractional coordinates of all 4 atoms:
La 0.7500 0.7500 0.7500  0.16
Mn 0.2500 0.2500 0.2500  -3.52
Zn 0.9532 0.9532 0.1404  0.06
Zn 0.5468 0.5468 0.3596  0.06

A plane-wave DFT calculation with PBE was carried out for a relaxed ZrTe crystal.

- ΔE_f (raw) (meV/atom) = -767.3
- spin magnetization (μB/cell) = 0.00
- Fermi-level density of states (states/eV per cell) = 2.6

abc: 5.5604 5.5604 7.7452
angles: 73.65 73.65 38.79
Fractional coordinates of all 6 atoms:
Zr 0.3186 0.3186 0.3310
Zr 0.0016 0.0016 0.6109
Zr 0.2461 0.2461 0.9411
Te 0.9430 0.9430 0.0125
Te 0.7121 0.7121 0.6606
Te 0.6118 0.6118 0.2772

Question: Among the records above, which one has the highest Fermi-level density of states?
Answer: GaNO2F

Question: Which of these has the highest spin magnetization?
Answer: LaMnZn2